The following is a DFT calculation (PBE-GGA) of a relaxed structure of Nd5Sm4Dy2.

a = 12.2773 Å, b = 12.2773 Å, c = 8.9140 Å
α = 96.97°, β = 96.97°, γ = 16.44°
Last column: nearest neighbours and their distance in Å.
Fractional positions:
Nd 0.0000 0.0000 0.0000  6 Nd 3.51-3.85, 4 Sm 3.72, 4 Dy 3.87
Nd 0.2695 0.2695 0.1786  1 Dy 3.38, 7 Nd 3.51-3.66, 3 Sm 3.66-3.68
Nd 0.3600 0.3600 0.8842  3 Sm 3.37-3.64, 1 Dy 3.48, 5 Nd 3.51-3.63
Nd 0.6400 0.6400 0.1158  3 Sm 3.37-3.64, 1 Dy 3.48, 5 Nd 3.51-3.63
Nd 0.7305 0.7305 0.8214  1 Dy 3.38, 7 Nd 3.51-3.66, 3 Sm 3.66-3.68
Sm 0.1763 0.1763 0.4713  4 Sm 3.51-3.66, 5 Nd 3.64-3.68, 2 Dy 3.74
Sm 0.4548 0.4548 0.6381  2 Dy 3.32-3.36, 1 Nd 3.37, 5 Sm 3.49-3.66
Sm 0.5452 0.5452 0.3619  2 Dy 3.32-3.36, 1 Nd 3.37, 5 Sm 3.49-3.66
Sm 0.8237 0.8237 0.5287  4 Sm 3.51-3.66, 5 Nd 3.64-3.68, 2 Dy 3.74
Dy 0.4088 0.4088 0.2674  2 Sm 3.32-3.36, 2 Nd 3.38-3.48, 2 Dy 3.51
Dy 0.5912 0.5912 0.7326  2 Sm 3.32-3.36, 2 Nd 3.38-3.48, 2 Dy 3.51

## Properties
As for the symmetry: C2/m, No. 12. Its polymorph energy (0 for the lowest one) is 0 meV/atom. As for the energy of formation: 147 kJ/mol of formula units.

The following is a DFT calculation (PBE-GGA) of a relaxed structure of Nd12Sm3Dy.

a = 5.1792 Å, b = 5.1792 Å, c = 20.6869 Å
α = 90.00°, β = 90.00°, γ = 90.00°
Last column: nearest neighbours and their distance in Å.
Fractional positions:
Nd 0.0000 0.0000 0.0000  8 Nd 3.64, 4 Dy 3.66
Nd 0.0000 0.0000 0.2488  8 Nd 3.66-3.67, 4 Sm 3.66
Nd 0.0000 0.0000 0.5000  4 Sm 3.66, 8 Nd 3.67
Nd 0.0000 0.0000 0.7512  8 Nd 3.66-3.67, 4 Sm 3.66
Nd 0.0000 0.5000 0.1239  2 Dy 3.64, 8 Nd 3.64-3.66, 2 Sm 3.66
Nd 0.0000 0.5000 0.3745  8 Nd 3.66-3.67, 4 Sm 3.67
Nd 0.0000 0.5000 0.6255  8 Nd 3.66-3.67, 4 Sm 3.67
Nd 0.0000 0.5000 0.8761  2 Dy 3.64, 8 Nd 3.64-3.66, 2 Sm 3.66
Nd 0.5000 0.0000 0.1239  2 Dy 3.64, 8 Nd 3.64-3.66, 2 Sm 3.66
Nd 0.5000 0.0000 0.3745  8 Nd 3.66-3.67, 4 Sm 3.67
Nd 0.5000 0.0000 0.6255  8 Nd 3.66-3.67, 4 Sm 3.67
Nd 0.5000 0.0000 0.8761  2 Dy 3.64, 8 Nd 3.64-3.66, 2 Sm 3.66
Sm 0.5000 0.5000 0.2490  12 Nd 3.66-3.67
Sm 0.5000 0.5000 0.5000  12 Nd 3.66-3.67
Sm 0.5000 0.5000 0.7510  12 Nd 3.66-3.67
Dy 0.5000 0.5000 0.0000  12 Nd 3.64-3.66

## Properties
As for the symmetry: P4/mmm, No. 123. As for the energy of formation: 19 kJ/mol of formula units.

The following is a DFT calculation (PBE-GGA) of a relaxed structure of Nd5SmDy4.

a = 9.3296 Å, b = 9.3296 Å, c = 10.5672 Å
α = 96.06°, β = 96.06°, γ = 22.26°
Last column: nearest neighbours and their distance in Å.
Fractional positions:
Nd 0.0000 0.0000 0.0000  4 Dy 3.33, 2 Nd 3.60
Nd 0.3105 0.3105 0.9026  1 Dy 3.30, 4 Nd 3.60-3.66
Nd 0.3580 0.3580 0.2688  2 Dy 3.45-3.69, 4 Nd 3.60-3.85, 2 Sm 3.82
Nd 0.6420 0.6420 0.7312  2 Dy 3.45-3.69, 4 Nd 3.60-3.85, 2 Sm 3.82
Nd 0.6895 0.6895 0.0974  1 Dy 3.30, 4 Nd 3.60-3.66
Sm 0.0000 0.0000 0.5000  6 Dy 3.28-3.57, 2 Sm 3.60
Dy 0.1829 0.1829 0.4122  6 Dy 3.35-3.60, 1 Sm 3.57, 1 Nd 3.69
Dy 0.4540 0.4540 0.7386  2 Sm 3.28, 4 Nd 3.30-3.45, 4 Dy 3.35-3.60
Dy 0.5460 0.5460 0.2614  2 Sm 3.28, 4 Nd 3.30-3.45, 4 Dy 3.35-3.60
Dy 0.8171 0.8171 0.5878  6 Dy 3.35-3.60, 1 Sm 3.57, 1 Nd 3.69

## Properties
As for the symmetry: C2/m, No. 12. Its polymorph energy (0 for the lowest one) is 133 meV/atom. As for the energy of formation: 142 kJ/mol of formula units.

The following is a DFT calculation (PBE-GGA) of a relaxed structure of Nd3Sm2Dy2.

a = 3.6275 Å, b = 6.2756 Å, c = 10.8895 Å
α = 84.34°, β = 89.93°, γ = 73.23°
Last column: nearest neighbours and their distance in Å.
Fractional positions:
Nd 0.0000 0.0000 0.0000  6 Sm 3.61-3.64, 4 Dy 3.62-3.63, 2 Nd 3.63
Nd 0.1427 0.7149 0.5712  5 Nd 3.61-3.63, 5 Dy 3.62-3.63, 2 Sm 3.63
Nd 0.8573 0.2851 0.4288  5 Nd 3.61-3.63, 5 Dy 3.62-3.63, 2 Sm 3.63
Sm 0.2853 0.4298 0.1430  5 Nd 3.61-3.64, 3 Dy 3.62-3.63, 4 Sm 3.62-3.63
Sm 0.7147 0.5702 0.8570  5 Nd 3.61-3.64, 3 Dy 3.62-3.63, 4 Sm 3.62-3.63
Dy 0.4288 0.1431 0.7145  3 Sm 3.62-3.63, 7 Nd 3.62-3.63, 2 Dy 3.63
Dy 0.5712 0.8569 0.2855  3 Sm 3.62-3.63, 7 Nd 3.62-3.63, 2 Dy 3.63

## Properties
As for the symmetry: P-1, No. 2. Its polymorph energy (0 for the lowest one) is 0 meV/atom. As for the energy of formation: 10 kJ/mol of formula units.

The following is a DFT calculation (PBE-GGA) of a relaxed structure of NdSm4Dy6.

a = 8.4989 Å, b = 8.4989 Å, c = 8.4989 Å
α = 125.89°, β = 125.89°, γ = 80.08°
Last column: nearest neighbours and their distance in Å.
Fractional positions:
Nd 0.0000 0.0000 0.0000  8 Dy 3.63-3.87, 4 Sm 3.73
Sm 0.2535 0.2535 0.6577  3 Dy 3.03-3.22, 2 Sm 3.29
Sm 0.4041 0.7465 0.0000  3 Dy 3.03-3.22, 2 Sm 3.29
Sm 0.5959 0.5959 0.3423  3 Dy 3.03-3.22, 2 Sm 3.29
Sm 0.7465 0.4041 0.0000  3 Dy 3.03-3.22, 2 Sm 3.29
Dy 0.0000 0.5000 0.5000  4 Sm 3.03
Dy 0.0619 0.5663 0.0000  2 Sm 3.22-3.51
Dy 0.4337 0.4337 0.4956  2 Sm 3.22-3.51
Dy 0.5000 0.0000 0.5000  4 Sm 3.03
Dy 0.5663 0.0619 0.0000  2 Sm 3.22-3.51
Dy 0.9381 0.9381 0.5044  2 Sm 3.22-3.51

## Properties
As for the symmetry: I-42m, No. 121. Its polymorph energy (0 for the lowest one) is 125 meV/atom. As for the energy of formation: 463 kJ/mol of formula units.

The following is a DFT calculation (PBE-GGA) of a relaxed structure of Nd8Sm3Dy4.

a = 9.2972 Å, b = 9.2972 Å, c = 6.9269 Å
α = 111.31°, β = 111.31°, γ = 82.48°
Last column: nearest neighbours and their distance in Å.
Fractional positions:
Nd 0.2046 0.2046 0.1871  4 Nd 3.46-3.57, 2 Sm 3.50, 3 Dy 3.62-3.63
Nd 0.2047 0.7953 0.0000  4 Nd 3.51-3.55, 2 Sm 3.54, 3 Dy 3.58-3.62
Nd 0.2532 0.7468 0.5000  1 Dy 3.03, 1 Sm 3.10
Nd 0.2538 0.2538 0.7267  1 Dy 3.02, 1 Sm 3.11
Nd 0.7462 0.7462 0.2733  1 Dy 3.02, 1 Sm 3.11
Nd 0.7468 0.2532 0.5000  1 Dy 3.03, 1 Sm 3.10
Nd 0.7953 0.2047 0.0000  4 Nd 3.51-3.55, 2 Sm 3.54, 3 Dy 3.58-3.62
Nd 0.7954 0.7954 0.8129  4 Nd 3.46-3.57, 2 Sm 3.50, 3 Dy 3.62-3.63
Sm 0.0000 0.0000 0.5000  4 Nd 3.10-3.11
Sm 0.0000 0.5000 0.0000  2 Dy 3.46, 8 Nd 3.50-3.62
Sm 0.5000 0.0000 0.0000  2 Dy 3.46, 8 Nd 3.50-3.62
Dy 0.0000 0.5000 0.5000  8 Nd 3.43-3.63, 2 Sm 3.46
Dy 0.5000 0.0000 0.5000  8 Nd 3.43-3.63, 2 Sm 3.46
Dy 0.5000 0.5000 0.0000  2 Nd 3.02
Dy 0.5000 0.5000 0.5000  2 Nd 3.03

## Properties
As for the symmetry: C2/m, No. 12. Its polymorph energy (0 for the lowest one) is 172 meV/atom. As for the energy of formation: 473 kJ/mol of formula units.